# LaUCoO6 | Alexandria via LeMat-Bulk | PBE with a Hubbard U | optimized geometry
# magnetization: 0.043 μB/f.u.
# VASP energy: -73.21 eV per formula unit
data_LaUCoO6
_cell_length_a 5.022
_cell_length_b 5.022
_cell_length_c 9.911
_cell_angle_alpha 90.00
_cell_angle_beta 90.00
_cell_angle_gamma 90.00
_symmetry_space_group_name_H-M 'P 42 n m'
_symmetry_Int_Tables_number 102
loop_
_symmetry_equiv_pos_as_xyz
'x,y,z'
'-y+1/2,x+1/2,z+1/2'
'-x,-y,z'
'y+1/2,-x+1/2,z+1/2'
'-x+1/2,y+1/2,z+1/2'
'y,x,z'
'x+1/2,-y+1/2,z+1/2'
'-y,-x,z'
loop_
_atom_site_label
_atom_site_fract_x
_atom_site_fract_y
_atom_site_fract_z
_atom_site_occupancy
La1 0.000 0.000 0.000 1
U1 0.000 0.000 0.657 1
Co1 0.000 0.000 0.323 1
O1 0.168 0.168 0.480 1
O2 0.201 0.201 0.185 1
O3 0.209 0.209 0.800 1